Compound: ZrSbW2
Source: Alexandria via LeMat-Bulk
Functional: PBE
Structure: optimized geometry

Total energy, eV/atom: -9.48
V, Å³/cell: 78.8

The structure in CIF format:
```
data_ZrSbW2
_chemical_formula_sum 'Zr1 Sb1 W2'
_cell_length_a 3.2215
_cell_length_b 3.2215
_cell_length_c 7.5964
_cell_angle_alpha 90.00
_cell_angle_beta 90.00
_cell_angle_gamma 90.00
_space_group_name_H-M_alt 'P 4 m m'
_space_group_IT_number 99
_space_group_name_Hall 'P 4 -2'
loop_
_atom_site_label
_atom_site_fract_x
_atom_site_fract_y
_atom_site_fract_z
_atom_site_occupancy
Zr1 0.0000 0.0000 0.0000 1
Sb1 0.5000 0.5000 0.3211 1
W1 0.0000 0.0000 0.5603 1
W2 0.5000 0.5000 0.7513 1
```